Here is NbSbPd after structural relaxation from the Alexandria database. Energies are from GGA-PBE.

Geometry as POSCAR:
```
NbSbPd
1.0
4.681 0.000 0.000
2.126 4.184 0.000
0.600 0.377 5.754
Nb Sb Pd
2 2 2
Cartesian
0.000 0.000 0.000 Nb
2.777 1.711 4.496 Nb
0.582 0.373 2.865 Sb
5.091 3.134 5.511 Sb
2.762 1.700 1.645 Pd
5.133 3.165 2.597 Pd
```

The value obtained for the magnetic moment is 0.000 Bohr magnetons per cell. Its raw total energy is -6.70 eV/atom.